(1)
Zn2SbPt | GGA-PBE | optimized geometry

```
Zn2SbPt
1.0
8.596 -0.056 -0.033
8.012 3.114 -0.033
8.012 1.475 2.742
Pt Sb Zn
1 1 2
direct
0.250 0.250 0.250
0.750 0.750 0.750
0.989 0.989 0.989
0.511 0.511 0.511
```



(2)
CsOF3 | GGA-PBE | optimized geometry

Computed properties:
- distance to the lowest polymorph of the same formula (eV/f.u.) = 0.89

```
CsOF3
1.0
-6.868 0.537 0.191
-4.386 -5.216 1.027
-3.919 -0.878 5.601
Cs O F
2 2 6
direct
0.263 0.263 0.263
0.737 0.737 0.737
0.083 0.083 0.083
0.917 0.917 0.917
0.237 0.237 0.779
0.237 0.779 0.237
0.221 0.763 0.763
0.763 0.221 0.763
0.763 0.763 0.221
0.779 0.237 0.237
```



(3)
Tb2SmF11 | GGA-PBE | optimized geometry

```
Tb2SmF11
1.0
7.485 0.000 3.902
3.400 7.652 2.608
0.189 0.016 8.768
Tb Sm F
4 2 22
direct
0.659 0.689 0.311
0.341 0.311 0.689
0.841 0.189 0.811
0.159 0.811 0.189
0.750 0.750 0.750
0.250 0.250 0.250
0.660 0.710 0.555
0.340 0.290 0.445
0.075 0.555 0.710
0.840 0.945 0.790
0.925 0.445 0.290
0.160 0.055 0.210
0.425 0.790 0.945
0.575 0.210 0.055
0.500 0.500 0.500
0.000 0.000 0.000
0.891 0.806 0.194
0.109 0.194 0.806
0.609 0.306 0.694
0.391 0.694 0.306
0.462 0.970 0.313
0.538 0.030 0.687
0.255 0.313 0.970
0.038 0.187 0.530
0.745 0.687 0.030
0.962 0.813 0.470
0.245 0.530 0.187
0.755 0.470 0.813
```



Number 1: DOS at the Fermi energy 0.28 states/eV/atom, total DFT energy (no corrections) -3.2015 eV/atom, ΔE_f (raw) -0.0238 eV per atom. Number 2: DOS at the Fermi energy 0.00 states/eV/atom, total DFT energy (no corrections) -3.3254 eV/atom, ΔE_f (raw) -1.0402 eV per atom. Number 3: DOS at the Fermi energy 0.90 states/eV/atom, total DFT energy (no corrections) -5.9143 eV/atom, ΔE_f (raw) -3.4455 eV per atom.